DFT (GGA-PBE) results for a geometry-optimized Pr2AlZnO6 structure.

Unit cell a=5.4901 b=5.5895 c=7.7990 alpha=90.00 beta=90.29 gamma=90.00
Positions (direct):
Pr (0.0123, 0.9519, 0.2489)
Pr (0.5123, 0.5481, 0.7489)
Pr (0.9877, 0.0481, 0.7511)
Pr (0.4877, 0.4519, 0.2511)
Al (0.5000, 0.0000, 0.0000)
Al (0.0000, 0.5000, 0.5000)
Zn (0.5000, 0.0000, 0.5000)
Zn (0.0000, 0.5000, 0.0000)
O (0.2993, 0.7225, 0.0462)
O (0.7993, 0.7775, 0.5462)
O (0.7007, 0.2775, 0.9538)
O (0.2007, 0.2225, 0.4538)
O (0.2774, 0.7009, 0.4572)
O (0.7774, 0.7991, 0.9572)
O (0.7226, 0.2991, 0.5428)
O (0.2226, 0.2009, 0.0428)
O (0.9179, 0.5202, 0.2618)
O (0.4179, 0.9798, 0.7618)
O (0.0821, 0.4798, 0.7382)
O (0.5821, 0.0202, 0.2382)

Properties
* total magnetic moment: 1.1 μB/f.u.
* crystal system: monoclinic
* SG: P2_1/c (14)
* DFT total energy: -7.071 eV per atom
* formation energy without anion corrections: -2.638 eV per atom

---

DFT (GGA-PBE) results for a geometry-optimized Pr3Al2ZnO9 structure.

Unit cell a=5.4103 b=5.4103 c=6.6996 alpha=90.00 beta=90.00 gamma=120.00
Positions (direct):
Pr (0.3333, 0.6667, 0.6579)
Pr (0.0000, 0.0000, 0.0000)
Pr (0.6667, 0.3333, 0.3421)
Al (0.3333, 0.6667, 0.1553)
Al (0.6667, 0.3333, 0.8447)
Zn (0.0000, 0.0000, 0.5000)
O (0.8267, 0.1733, 0.6731)
O (0.8267, 0.6535, 0.6731)
O (0.3465, 0.1733, 0.6731)
O (0.6535, 0.8267, 0.3269)
O (0.1733, 0.3465, 0.3269)
O (0.1733, 0.8267, 0.3269)
O (0.5000, 0.0000, 0.0000)
O (0.0000, 0.5000, 0.0000)
O (0.5000, 0.5000, 0.0000)

Properties
* total magnetic moment: 0.0 μB/f.u.
* crystal system: trigonal
* SG: P-3m1 (164)
* DFT total energy: -7.300 eV per atom
* formation energy without anion corrections: -2.785 eV per atom

---

DFT (GGA-PBE) results for a geometry-optimized AlPt2O6 structure.

Unit cell a=4.3889 b=5.0866 c=8.7389 alpha=90.00 beta=90.00 gamma=90.00
Positions (direct):
Al (0.5000, 0.5000, 0.0000)
Al (0.0000, 0.0000, 0.5000)
Pt (0.5002, 0.0000, 0.1786)
Pt (0.0002, 0.5000, 0.3214)
Pt (0.9998, 0.5000, 0.6786)
Pt (0.4998, 0.0000, 0.8214)
O (0.2403, 0.1628, 0.6560)
O (0.2408, 0.1628, 0.3441)
O (0.2844, 0.1768, 0.0001)
O (0.7844, 0.3232, 0.4999)
O (0.7408, 0.3372, 0.1559)
O (0.7403, 0.3372, 0.8440)
O (0.7597, 0.8372, 0.3440)
O (0.7592, 0.8372, 0.6559)
O (0.7156, 0.8232, 0.9999)
O (0.2156, 0.6768, 0.5001)
O (0.2592, 0.6628, 0.8441)
O (0.2597, 0.6628, 0.1560)

Properties
* total magnetic moment: 0.9 μB/f.u.
* crystal system: orthorhombic
* SG: Pnnm (58)
* DFT total energy: -6.167 eV per atom
* formation energy without anion corrections: -1.103 eV per atom

---

DFT (GGA-PBE) results for a geometry-optimized AlPt3O structure.

Unit cell a=4.5672 b=4.5672 c=4.5672 alpha=90.00 beta=90.00 gamma=90.00
Positions (direct):
O (0.5000, 0.5000, 0.5000)
Al (0.0000, 0.0000, 0.0000)
Pt (0.0000, 0.5000, 0.0000)
Pt (0.0000, 0.0000, 0.5000)
Pt (0.5000, 0.0000, 0.0000)

Properties
* total magnetic moment: 0.0 μB/f.u.
* crystal system: cubic
* SG: Pm-3m (221)
* DFT total energy: -4.234 eV per atom
* formation energy without anion corrections: 1.131 eV per atom
* distance to the lowest polymorph of the same formula: 818 meV per atom